The following is a DFT calculation (PBEsol) of a relaxed structure of ZnH3F.

Magnetization   0.0 μB per cell
E above lowest polymorph   0 meV per atom

a b c (Å): 4.266 11.745 2.828
angles (deg): 90.00 130.31 90.00
Space group C2 (No. 5)
Unique sites:
Zn  0.000  0.000  0.000
H  0.000  0.075  0.500
H  0.100  0.743  0.529
F  0.000  0.410  0.500